Density functional theory data (PBE) for a relaxed MgAsIr2 crystal.

Properties
- Space-group type: P4/mmm
- Distance to the lowest polymorph of the same formula: 0.0 kJ/mol of formula units
- E_form: -188 meV/atom

Geometry as POSCAR:
```
MgAsIr2
1.0
4.158 0.000 0.000
0.000 4.158 0.000
0.000 0.000 3.441
Mg As Ir
1 1 2
Direct
0.000 0.000 0.000
0.500 0.500 0.000
0.000 0.500 0.500
0.500 0.000 0.500
```



Density functional theory data (PBE) for a relaxed Li2CaSiNi crystal.

Properties
- Space-group type: P4/mmm
- ΔE_f (raw): -1.02 eV per formula unit

Geometry as POSCAR:
```
Li2CaSiNi
1.0
4.624 0.000 0.000
0.000 4.624 0.000
0.000 0.000 4.360
Li Ca Si Ni
2 1 1 1
Direct
0.000 0.500 0.000
0.500 0.000 0.000
0.000 0.000 0.500
0.500 0.500 0.500
0.500 0.500 0.000
```



Density functional theory data (PBE) for a relaxed LiInAg2 crystal.

Properties
- Space-group type: P4/mmm
- E_form: -149 meV/atom

Geometry as POSCAR:
```
LiInAg2
1.0
3.294 0.000 0.000
0.000 3.294 0.000
0.000 0.000 6.723
Li In Ag
1 1 2
Direct
0.000 0.000 0.000
0.000 0.000 0.500
0.500 0.500 0.219
0.500 0.500 0.781
```



Density functional theory data (PBE) for a relaxed Ce3SiN6 crystal.

Properties
- Space-group type: Cmc2_1
- ΔE_f (raw): -10.02 eV per formula unit

Geometry as POSCAR:
```
Ce3SiN6
1.0
4.633 -5.691 0.000
4.633 5.691 0.000
0.000 0.000 5.460
Ce Si N
6 2 12
Direct
0.107 0.893 0.500
0.184 0.412 0.462
0.412 0.184 0.962
0.588 0.816 0.462
0.816 0.588 0.962
0.893 0.107 0.000
0.311 0.689 0.945
0.689 0.311 0.445
0.108 0.603 0.777
0.150 0.164 0.726
0.164 0.150 0.226
0.279 0.721 0.256
0.397 0.892 0.777
0.467 0.533 0.939
0.533 0.467 0.439
0.603 0.108 0.277
0.721 0.279 0.756
0.836 0.850 0.726
0.850 0.836 0.226
0.892 0.397 0.277
```



Density functional theory data (PBE) for a relaxed Nd3GePCl crystal.

Properties
- Space-group type: P2_1/m
- ΔE_f (raw): -6.90 eV per formula unit

Geometry as POSCAR:
```
Nd3GePCl
1.0
8.367 0.000 0.000
0.000 4.260 0.000
-2.435 0.000 9.254
Nd Ge P Cl
6 2 2 2
Direct
0.073 0.250 0.348
0.219 0.250 0.998
0.404 0.750 0.633
0.596 0.250 0.367
0.781 0.750 0.002
0.927 0.750 0.652
0.308 0.750 0.279
0.692 0.250 0.721
0.165 0.250 0.654
0.835 0.750 0.346
0.392 0.750 0.917
0.608 0.250 0.083
```



Density functional theory data (PBE) for a relaxed Fe2Cu2Tc crystal.

Properties
- Space-group type: P4/mbm
- Distance to the lowest polymorph of the same formula: 0.0 kJ/mol of formula units
- E_form: 381 meV/atom

Geometry as POSCAR:
```
Fe2Cu2Tc
1.0
7.053 0.000 0.000
0.000 7.053 0.000
0.000 0.000 2.549
Fe Cu Tc
4 4 2
Direct
0.120 0.380 0.000
0.380 0.880 0.000
0.620 0.120 0.000
0.880 0.620 0.000
0.176 0.676 0.500
0.324 0.176 0.500
0.676 0.824 0.500
0.824 0.324 0.500
0.000 0.000 0.000
0.500 0.500 0.000
```



Density functional theory data (PBE) for a relaxed Ac8PrRh4 crystal.

Properties
- Space-group type: C2/m
- E_form: -471 meV/atom

Geometry as POSCAR:
```
Ac8PrRh4
1.0
10.392 -2.163 0.000
10.392 2.163 0.000
-9.319 0.000 10.663
Ac Pr Rh
8 1 4
Direct
0.043 0.043 0.244
0.301 0.301 0.432
0.338 0.338 0.167
0.366 0.366 0.908
0.634 0.634 0.092
0.662 0.662 0.833
0.699 0.699 0.568
0.957 0.957 0.756
0.000 0.000 0.500
0.145 0.145 0.962
0.331 0.331 0.671
0.669 0.669 0.329
0.855 0.855 0.038
```



Density functional theory data (PBE) for a relaxed ZnOs2Rh crystal.

Properties
- Space-group type: R3m
- E_form: 63 meV/atom

Geometry as POSCAR:
```
ZnOs2Rh
1.0
2.747 0.000 0.000
-1.373 2.379 0.000
0.000 0.000 26.253
Zn Os Rh
3 6 3
Direct
0.000 0.000 0.000
0.333 0.667 0.667
0.667 0.333 0.333
0.000 0.000 0.501
0.000 0.000 0.753
0.333 0.667 0.167
0.333 0.667 0.420
0.667 0.333 0.086
0.667 0.333 0.834
0.000 0.000 0.252
0.333 0.667 0.918
0.667 0.333 0.585
```



| no. | Fermi-level density of states (states/eV/atom) |
| --- | --- |
| 1 | 0.26 |
| 2 | 0.44 |
| 3 | 0.26 |
| 4 | 0.96 |
| 5 | 0.34 |
| 6 | 0.90 |
| 7 | 0.83 |
| 8 | 1.85 |